[1]
A plane-wave DFT calculation with PBE-GGA was carried out for a relaxed Ac2PmPt9 crystal.

Structure (POSCAR):
```
Ac2PmPt9
1.0
-1.627 -3.275 4.144
2.779 0.001 4.777
-5.006 5.553 6.107
Ac Pm Pt
2 1 9
Direct
0.862 0.862 0.415
0.138 0.138 0.585
0.000 0.000 0.000
0.667 0.667 0.998
0.333 0.333 0.002
0.500 0.500 0.500
0.416 0.416 0.247
0.920 0.416 0.247
0.416 0.920 0.247
0.584 0.584 0.753
0.584 0.080 0.753
0.080 0.584 0.753
```

The formation energy comes out at -0.885 eV per atom. The calculation puts the density of states at the Fermi level at 10.568 states/eV/f.u. The spin magnetization comes out at 0.0 Bohr magnetons per cell. The space group is R-3m.

[2]
A plane-wave DFT calculation with PBE-GGA was carried out for a relaxed AcPm2Pt crystal.

Structure (POSCAR):
```
AcPm2Pt
1.0
-3.365 -1.179 2.090
-0.050 -3.643 1.952
2.272 2.543 9.180
Ac Pm Pt
1 2 1
Direct
0.502 0.502 0.495
0.056 0.056 0.832
0.277 0.277 0.170
0.666 0.666 0.003
```

The formation energy comes out at -0.519 eV per atom. The calculation puts the density of states at the Fermi level at 4.885 states/eV/f.u. The spin magnetization comes out at 0.0 Bohr magnetons per cell. The space group is R3m.

[3]
A plane-wave DFT calculation with PBE-GGA was carried out for a relaxed AcPm4Pt crystal.

Structure (POSCAR):
```
AcPm4Pt
1.0
5.841 0.000 0.000
0.000 7.929 0.000
-2.921 0.000 9.486
Ac Pm Pt
2 8 2
Direct
0.890 0.781 0.779
0.110 0.281 0.221
0.880 0.281 0.760
0.120 0.781 0.240
0.500 0.030 0.000
0.500 0.530 0.000
0.706 0.527 0.411
0.294 0.027 0.589
0.705 0.034 0.411
0.295 0.534 0.589
0.603 0.781 0.205
0.397 0.281 0.795
```

The formation energy comes out at -0.265 eV per atom. The calculation puts the density of states at the Fermi level at 7.787 states/eV/f.u. The spin magnetization comes out at 0.0 Bohr magnetons per cell. The space group is Cmcm.

[4]
A plane-wave DFT calculation with PBE-GGA was carried out for a relaxed AcPmPt10 crystal.

Structure (POSCAR):
```
AcPmPt10
1.0
4.432 0.000 0.000
0.000 5.479 0.000
0.000 0.000 9.467
Ac Pm Pt
1 1 10
Direct
0.000 0.000 0.000
0.000 0.500 0.500
0.000 0.000 0.338
0.000 0.500 0.827
0.000 0.500 0.173
0.000 0.000 0.662
0.500 0.000 0.500
0.500 0.500 0.000
0.500 0.251 0.254
0.500 0.749 0.746
0.500 0.749 0.254
0.500 0.251 0.746
```

The formation energy comes out at -0.743 eV per atom. The calculation puts the density of states at the Fermi level at 8.456 states/eV/f.u. The spin magnetization comes out at 0.0 Bohr magnetons per cell. The space group is Pmmm.

Question: Look up the formation energy of the first one.
Answer: -0.885 eV per atom

Question: Number 4 is which compound?
Answer: AcPmPt10

Copy entry 1 word for word.
A plane-wave DFT calculation with PBE-GGA was carried out for a relaxed Ac2PmPt9 crystal.

Structure (POSCAR):
```
Ac2PmPt9
1.0
-1.627 -3.275 4.144
2.779 0.001 4.777
-5.006 5.553 6.107
Ac Pm Pt
2 1 9
Direct
0.862 0.862 0.415
0.138 0.138 0.585
0.000 0.000 0.000
0.667 0.667 0.998
0.333 0.333 0.002
0.500 0.500 0.500
0.416 0.416 0.247
0.920 0.416 0.247
0.416 0.920 0.247
0.584 0.584 0.753
0.584 0.080 0.753
0.080 0.584 0.753
```

The formation energy comes out at -0.885 eV per atom. The calculation puts the density of states at the Fermi level at 10.568 states/eV/f.u. The spin magnetization comes out at 0.0 Bohr magnetons per cell. The space group is R-3m.

Question: Number 3 is which compound?
Answer: AcPm4Pt